# Li6Ac2Pd9 (PBE, optimized geometry)
data_Li6Ac2Pd9
_symmetry_space_group_name_H-M 'P 6/m m m'
_symmetry_Int_Tables_number 191
_symmetry_space_group_name_Hall '-P 6 2'
_cell_length_a 5.5888
_cell_length_b 5.5888
_cell_length_c 11.9684
_cell_angle_alpha 90.00
_cell_angle_beta 90.00
_cell_angle_gamma 120.00
loop_
_atom_site_label
_atom_site_type_symbol
_atom_site_fract_x
_atom_site_fract_y
_atom_site_fract_z
Li1 Li 0.3333 0.6667 0.0000
Li2 Li 0.3333 0.6667 0.3394
Ac1 Ac 0.0000 0.0000 0.3107
Pd1 Pd 0.0000 0.5000 0.1776
Pd2 Pd 0.0000 0.5000 0.5000
# * DFT total energy: -4.377 eV/atom
# * calculated density: 7.45 g cm⁻³
# * DFT formation energy: -769 kJ/mol of formula units
# * density of states at the Fermi level: 0.39 states/eV/atom